# 1
# La2GdTa2O6

La2GdTa2O6 after structural relaxation (PBE, OQMD via LeMat-Bulk).

Lattice parameters (Å, degrees): 10.250 10.250 10.250 157.50 157.50 32.03
Fractional coordinates of all 11 atoms:
Gd 0.000 0.000 0.000
La 0.183 0.183 0.000
La 0.817 0.817 0.000
O 0.295 0.295 0.000
O 0.705 0.705 0.000
O 0.591 0.091 0.500
O 0.909 0.409 0.500
O 0.091 0.591 0.500
O 0.409 0.909 0.500
Ta 0.433 0.433 0.000
Ta 0.567 0.567 0.000


# 2
# LaGdTeO2

LaGdTeO2 after structural relaxation (PBE, OQMD via LeMat-Bulk).

Lattice parameters (Å, degrees): 7.005 7.005 7.005 146.56 146.56 48.01
Fractional coordinates of all 5 atoms:
Gd 0.338 0.338 0.000
La 0.657 0.657 0.000
O 0.754 0.254 0.500
O 0.254 0.754 0.500
Te 0.997 0.997 0.000


# 3
# LaGdOs

LaGdOs after structural relaxation (PBE, OQMD via LeMat-Bulk).

- formation enthalpy at 0 K (eV per atom) = 0.745

Lattice parameters (Å, degrees): 4.770 4.770 4.770 60.00 60.00 60.00
Fractional coordinates of all 3 atoms:
Gd 0.250 0.250 0.250
La 0.000 0.000 0.000
Os 0.750 0.750 0.750


# 4
# La2GdTm3Te2Os

La2GdTm3Te2Os after structural relaxation (PBE, OQMD via LeMat-Bulk).

Lattice parameters (Å, degrees): 4.145 8.403 8.403 119.93 90.00 90.00
Fractional coordinates of all 9 atoms:
Gd 0.000 0.616 0.616
La 0.000 0.406 0.000
La 0.000 0.000 0.406
Os 0.000 0.974 0.974
Te 0.500 0.663 0.344
Te 0.500 0.344 0.663
Tm 0.500 0.769 0.008
Tm 0.500 0.220 0.220
Tm 0.500 0.008 0.769


# 5
# LaGd2Tm3Te2Os

LaGd2Tm3Te2Os after structural relaxation (PBE, OQMD via LeMat-Bulk).

Lattice parameters (Å, degrees): 4.117 8.327 8.327 119.83 90.00 90.00
Fractional coordinates of all 9 atoms:
Gd 0.000 0.999 0.389
Gd 0.000 0.389 0.999
La 0.000 0.595 0.595
Os 0.000 0.017 0.017
Te 0.500 0.669 0.326
Te 0.500 0.326 0.669
Tm 0.500 0.238 0.238
Tm 0.500 0.998 0.769
Tm 0.500 0.769 0.998


# 6
# LaGdP2Pd2

LaGdP2Pd2 after structural relaxation (PBE, OQMD via LeMat-Bulk).

Lattice parameters (Å, degrees): 4.232 4.232 7.843 90.00 90.00 120.00
Fractional coordinates of all 6 atoms:
Gd 0.000 0.000 0.750
La 0.000 0.000 0.250
P 0.333 0.667 0.510
P 0.667 0.333 0.990
Pd 0.667 0.333 0.512
Pd 0.333 0.667 0.989


| no. | E_tot (eV/cell) |
| --- | --- |
| 1 | -96.78 |
| 2 | -37.53 |
| 3 | -18.57 |
| 4 | -52.48 |
| 5 | -52.07 |
| 6 | -38.47 |